1.
Density functional theory data (PBE) for crystalline CoSnOs2 at its relaxed geometry.

Cell lengths 6.212, 6.212, 6.212 Å; angles 90.00, 90.00, 90.00 degrees
Space group F-43m (No. 216)
Symmetry-distinct sites (fractional):
1 Co 0.000 0.000 0.000 [4 per cell]
2 Sn 0.250 0.250 0.750 [4 per cell]
3 Os 0.000 0.000 0.500 [4 per cell]
4 Os 0.250 0.250 0.250 [4 per cell]

Total energy ... -7.83 eV/atom
Mass density ... 15.46 g cm⁻³
Calculated volume ... 59.93 Å³/f.u.

***

2.
Density functional theory data (PBE) for crystalline ZnCoSnOs at its relaxed geometry.

Cell lengths 6.167, 6.167, 6.167 Å; angles 90.00, 90.00, 90.00 degrees
Space group F-43m (No. 216)
Symmetry-distinct sites (fractional):
1 Zn 0.000 0.000 0.000 [4 per cell]
2 Co 0.250 0.250 0.750 [4 per cell]
3 Sn 0.000 0.000 0.500 [4 per cell]
4 Os 0.250 0.250 0.250 [4 per cell]

Total energy ... -5.71 eV/atom
Energy relative to the lowest polymorph listed for this composition ... 0.0000 eV/atom
Mass density ... 12.27 g cm⁻³
Calculated volume ... 58.64 Å³/f.u.

***

3.
Density functional theory data (PBE) for crystalline ZrCoSnOs at its relaxed geometry.

Cell lengths 6.426, 6.426, 6.426 Å; angles 90.00, 90.00, 90.00 degrees
Space group F-43m (No. 216)
Symmetry-distinct sites (fractional):
1 Zr 0.000 0.000 0.000 [4 per cell]
2 Co 0.250 0.250 0.750 [4 per cell]
3 Sn 0.000 0.000 0.500 [4 per cell]
4 Os 0.250 0.250 0.250 [4 per cell]

Total energy ... -7.97 eV/atom
Energy relative to the lowest polymorph listed for this composition ... 0.0000 eV/atom
Mass density ... 11.49 g cm⁻³
Calculated volume ... 66.32 Å³/f.u.

***

4.
Density functional theory data (PBE) for crystalline ZrCoSnOs at its relaxed geometry.

Cell lengths 6.477, 6.477, 6.477 Å; angles 90.00, 90.00, 90.00 degrees
Space group F-43m (No. 216)
Symmetry-distinct sites (fractional):
1 Zr 0.000 0.000 0.000 [4 per cell]
2 Co 0.000 0.000 0.500 [4 per cell]
3 Sn 0.250 0.250 0.250 [4 per cell]
4 Os 0.250 0.250 0.750 [4 per cell]

Total energy ... -7.50 eV/atom
Energy relative to the lowest polymorph listed for this composition ... 0.4643 eV/atom
Mass density ... 11.22 g cm⁻³
Calculated volume ... 67.94 Å³/f.u.

***

5.
Density functional theory data (PBE) for crystalline SrCoOs at its relaxed geometry.

Cell lengths 6.525, 6.525, 6.525 Å; angles 90.00, 90.00, 90.00 degrees
Space group F-43m (No. 216)
Symmetry-distinct sites (fractional):
1 Sr 0.000 0.000 0.000 [4 per cell]
2 Co 0.250 0.250 0.750 [4 per cell]
3 Os 0.250 0.250 0.250 [4 per cell]

Total energy ... -4.49 eV/atom
Energy relative to the lowest polymorph listed for this composition ... 1.0626 eV/atom
Mass density ... 8.05 g cm⁻³
Calculated volume ... 69.44 Å³/f.u.

***

6.
Density functional theory data (PBE) for crystalline TaCoOs2 at its relaxed geometry.

Cell lengths 6.143, 6.143, 6.143 Å; angles 90.00, 90.00, 90.00 degrees
Space group F-43m (No. 216)
Symmetry-distinct sites (fractional):
1 Ta 0.000 0.000 0.000 [4 per cell]
2 Co 0.250 0.250 0.250 [4 per cell]
3 Os 0.000 0.000 0.500 [4 per cell]
4 Os 0.250 0.250 0.750 [4 per cell]

Total energy ... -10.13 eV/atom
Energy of formation from the pure elements ... 0.226 eV per atom
Mass density ... 17.78 g cm⁻³
Calculated volume ... 57.95 Å³/f.u.

***

7.
Density functional theory data (PBE) for crystalline TaCoOs at its relaxed geometry.

Cell lengths 5.892, 5.892, 5.892 Å; angles 90.00, 90.00, 90.00 degrees
Space group F-43m (No. 216)
Symmetry-distinct sites (fractional):
1 Ta 0.000 0.000 0.000 [4 per cell]
2 Co 0.250 0.250 0.750 [4 per cell]
3 Os 0.250 0.250 0.250 [4 per cell]

Total energy ... -9.53 eV/atom
Energy of formation from the pure elements ... 0.531 eV per atom
Energy relative to the lowest polymorph listed for this composition ... 0.1870 eV/atom
Mass density ... 13.97 g cm⁻³
Calculated volume ... 51.14 Å³/f.u.

***

8.
Density functional theory data (PBE) for crystalline TaTlCoOs at its relaxed geometry.

Cell lengths 6.372, 6.372, 6.372 Å; angles 90.00, 90.00, 90.00 degrees
Space group F-43m (No. 216)
Symmetry-distinct sites (fractional):
1 Ta 0.000 0.000 0.000 [4 per cell]
2 Tl 0.000 0.000 0.500 [4 per cell]
3 Co 0.250 0.250 0.750 [4 per cell]
4 Os 0.250 0.250 0.250 [4 per cell]

Total energy ... -7.83 eV/atom
Energy relative to the lowest polymorph listed for this composition ... 0.0000 eV/atom
Mass density ... 16.29 g cm⁻³
Calculated volume ... 64.68 Å³/f.u.

***

9.
Density functional theory data (PBE) for crystalline TaTlCoOs at its relaxed geometry.

Cell lengths 6.418, 6.418, 6.418 Å; angles 90.00, 90.00, 90.00 degrees
Space group F-43m (No. 216)
Symmetry-distinct sites (fractional):
1 Ta 0.000 0.000 0.000 [4 per cell]
2 Tl 0.250 0.250 0.250 [4 per cell]
3 Co 0.000 0.000 0.500 [4 per cell]
4 Os 0.250 0.250 0.750 [4 per cell]

Total energy ... -7.51 eV/atom
Energy relative to the lowest polymorph listed for this composition ... 0.3240 eV/atom
Mass density ... 15.94 g cm⁻³
Calculated volume ... 66.09 Å³/f.u.

***

10.
Density functional theory data (PBE) for crystalline TbCoOs at its relaxed geometry.

Cell lengths 6.243, 6.243, 6.243 Å; angles 90.00, 90.00, 90.00 degrees
Space group F-43m (No. 216)
Symmetry-distinct sites (fractional):
1 Tb 0.000 0.000 0.000 [4 per cell]
2 Co 0.000 0.000 0.500 [4 per cell]
3 Os 0.250 0.250 0.750 [4 per cell]

Total energy ... -7.08 eV/atom
Energy of formation from the pure elements ... 0.571 eV per atom
Mass density ... 11.14 g cm⁻³
Calculated volume ... 60.82 Å³/f.u.

***

11.
Density functional theory data (PBE) for crystalline TlCoTcOs at its relaxed geometry.

Cell lengths 6.278, 6.278, 6.278 Å; angles 90.00, 90.00, 90.00 degrees
Space group F-43m (No. 216)
Symmetry-distinct sites (fractional):
1 Tl 0.000 0.000 0.000 [4 per cell]
2 Co 0.250 0.250 0.250 [4 per cell]
3 Tc 0.250 0.250 0.750 [4 per cell]
4 Os 0.000 0.000 0.500 [4 per cell]

Total energy ... -7.02 eV/atom
Energy relative to the lowest polymorph listed for this composition ... 0.0000 eV/atom
Mass density ... 14.80 g cm⁻³
Calculated volume ... 61.87 Å³/f.u.

***

12.
Density functional theory data (PBE) for crystalline ZnCoTcOs at its relaxed geometry.

Cell lengths 6.002, 6.002, 6.002 Å; angles 90.00, 90.00, 90.00 degrees
Space group F-43m (No. 216)
Symmetry-distinct sites (fractional):
1 Zn 0.000 0.000 0.000 [4 per cell]
2 Co 0.250 0.250 0.250 [4 per cell]
3 Tc 0.000 0.000 0.500 [4 per cell]
4 Os 0.250 0.250 0.750 [4 per cell]

Total energy ... -7.29 eV/atom
Energy of formation from the pure elements ... 0.197 eV per atom
Energy relative to the lowest polymorph listed for this composition ... 0.0000 eV/atom
Mass density ... 12.67 g cm⁻³
Calculated volume ... 54.05 Å³/f.u.

***

13.
Density functional theory data (PBE) for crystalline ThCoOs at its relaxed geometry.

Cell lengths 6.233, 6.233, 6.233 Å; angles 90.00, 90.00, 90.00 degrees
Space group F-43m (No. 216)
Symmetry-distinct sites (fractional):
1 Th 0.000 0.000 0.000 [4 per cell]
2 Co 0.250 0.250 0.750 [4 per cell]
3 Os 0.000 0.000 0.500 [4 per cell]

Total energy ... -8.35 eV/atom
Energy of formation from the pure elements ... 0.233 eV per atom
Mass density ... 13.20 g cm⁻³
Calculated volume ... 60.54 Å³/f.u.

***

14.
Density functional theory data (PBE) for crystalline Th2CoOs at its relaxed geometry.

Cell lengths 5.962, 4.022, 7.716 Å; angles 90.00, 108.66, 90.00 degrees
Space group P2_1/m (No. 11)
Symmetry-distinct sites (fractional):
1 Th 0.225 0.250 0.427 [2 per cell]
2 Th 0.227 0.250 0.936 [2 per cell]
3 Co 0.312 0.750 0.201 [2 per cell]
4 Os 0.332 0.750 0.708 [2 per cell]

Total energy ... -8.64 eV/atom
Energy of formation from the pure elements ... -0.350 eV per atom
Mass density ... 13.51 g cm⁻³
Calculated volume ... 87.64 Å³/f.u.

***

15.
Density functional theory data (PBE) for crystalline TlCoOs2 at its relaxed geometry.

Cell lengths 6.286, 6.286, 6.286 Å; angles 90.00, 90.00, 90.00 degrees
Space group F-43m (No. 216)
Symmetry-distinct sites (fractional):
1 Tl 0.000 0.000 0.000 [4 per cell]
2 Co 0.250 0.250 0.250 [4 per cell]
3 Os 0.000 0.000 0.500 [4 per cell]
4 Os 0.250 0.250 0.750 [4 per cell]

Total energy ... -7.06 eV/atom
Mass density ... 17.22 g cm⁻³
Calculated volume ... 62.09 Å³/f.u.